Entry 1:
A relaxed Mg3Te crystal. Source: Alexandria, functional PBE.

Output
Size of the total moment, μB per atom: 0.0000
Energy relative to the elements, uncorrected, eV per formula unit: -0.83
Energy relative to the lowest polymorph listed for this composition, meV/atom: 0
Symmetry: P4/mmm (123)
Energy, eV per atom: -2.190

Lattice parameters (Å, degrees): 3.916 3.916 6.279 90.00 90.00 90.02
Atoms (fractional coordinates):
Mg 0.000 0.000 0.995
Mg 0.500 0.500 0.750
Mg 0.000 0.000 0.505
Te 0.500 0.500 0.250



Entry 2:
A relaxed MgTe2 crystal. Source: Alexandria, functional PBE.

Output
Size of the total moment, μB per atom: 0.0000
Energy relative to the elements, uncorrected, eV per formula unit: -1.28
Symmetry: C2/m (12)
Energy, eV per atom: -3.051

Lattice parameters (Å, degrees): 6.235 6.235 8.939 69.21 69.21 40.08
Atoms (fractional coordinates):
Mg 0.341 0.341 0.259
Mg 0.659 0.659 0.741
Te 0.872 0.872 0.028
Te 0.128 0.128 0.972
Te 0.890 0.890 0.469
Te 0.110 0.110 0.531



Entry 3:
A relaxed MgTe2 crystal. Source: Alexandria, functional PBE.

Output
Size of the total moment, μB per atom: 0.0000
Energy relative to the elements, uncorrected, eV per formula unit: -1.46
Symmetry: Pnma (62)
Energy, eV per atom: -3.111

Lattice parameters (Å, degrees): 4.402 8.277 10.957 90.00 90.00 90.00
Atoms (fractional coordinates):
Mg 0.250 0.652 0.428
Mg 0.750 0.848 0.928
Mg 0.250 0.152 0.072
Mg 0.750 0.348 0.572
Te 0.250 0.018 0.832
Te 0.750 0.482 0.332
Te 0.250 0.518 0.668
Te 0.750 0.982 0.168
Te 0.250 0.998 0.408
Te 0.750 0.502 0.908
Te 0.250 0.498 0.092
Te 0.750 0.002 0.592



Entry 4:
A relaxed MgTe2 crystal. Source: Alexandria, functional PBE.

Output
Size of the total moment, μB per atom: 0.0000
Energy relative to the elements, uncorrected, eV per formula unit: 0.78
Symmetry: Fd-3m (227)
Energy, eV per atom: -2.365

Lattice parameters (Å, degrees): 6.402 6.402 6.402 60.00 60.00 60.00
Atoms (fractional coordinates):
Mg 0.500 0.500 0.500
Mg 0.750 0.750 0.750
Te 0.625 0.125 0.125
Te 0.125 0.125 0.625
Te 0.125 0.125 0.125
Te 0.125 0.625 0.125



Entry 5:
A relaxed MgTe2 crystal. Source: Alexandria, functional PBE.

Output
Size of the total moment, μB per atom: 0.0000
Energy relative to the elements, uncorrected, eV per formula unit: 0.35
Symmetry: P6_3/mmc (194)
Energy, eV per atom: -2.510

Lattice parameters (Å, degrees): 5.866 5.866 15.334 90.00 90.00 120.00
Atoms (fractional coordinates):
Mg 0.333 0.667 0.928
Mg 0.667 0.333 0.428
Mg 0.667 0.333 0.072
Mg 0.333 0.667 0.572
Te 0.000 0.000 0.000
Te 0.000 0.000 0.500
Te 0.834 0.668 0.250
Te 0.166 0.332 0.750
Te 0.332 0.166 0.250
Te 0.834 0.166 0.250
Te 0.166 0.834 0.750
Te 0.668 0.834 0.750



Entry 6:
A relaxed Mg4Te3 crystal. Source: Alexandria, functional PBE.

Output
Size of the total moment, μB per atom: 0.0000
Energy relative to the elements, uncorrected, eV per formula unit: -3.56
Energy relative to the lowest polymorph listed for this composition, meV/atom: 10
Symmetry: Pm-3m (221)
Energy, eV per atom: -2.766

Lattice parameters (Å, degrees): 5.890 5.890 5.890 90.00 90.00 90.00
Atoms (fractional coordinates):
Mg 0.000 0.000 0.000
Mg 0.000 0.500 0.500
Mg 0.500 0.000 0.500
Mg 0.500 0.500 0.000
Te 0.000 0.500 0.000
Te 0.000 0.000 0.500
Te 0.500 0.000 0.000



Entry 7:
A relaxed MgTe2 crystal. Source: Alexandria, functional PBE.

Output
Size of the total moment, μB per atom: 0.0000
Energy relative to the elements, uncorrected, eV per formula unit: 0.31
Symmetry: P6/mmm (191)
Energy, eV per atom: -2.522

Lattice parameters (Å, degrees): 5.256 5.256 3.718 90.00 90.00 120.00
Atoms (fractional coordinates):
Mg 0.000 0.000 0.000
Te 0.333 0.667 0.500
Te 0.667 0.333 0.500



Entry 8:
A relaxed Mg7Te6 crystal. Source: Alexandria, functional PBE.

Output
Size of the total moment, μB per atom: 0.0000
Energy relative to the elements, uncorrected, eV per formula unit: -5.47
Symmetry: R-3m (166)
Energy, eV per atom: -2.729

Lattice parameters (Å, degrees): 10.057 10.057 10.057 39.24 39.24 39.24
Atoms (fractional coordinates):
Mg 0.909 0.431 0.431
Mg 0.431 0.431 0.909
Mg 0.431 0.909 0.431
Mg 0.091 0.569 0.569
Mg 0.569 0.091 0.569
Mg 0.569 0.569 0.091
Mg 0.500 0.500 0.500
Te 0.947 0.947 0.947
Te 0.053 0.053 0.053
Te 0.816 0.816 0.816
Te 0.184 0.184 0.184
Te 0.672 0.672 0.672
Te 0.328 0.328 0.328



Entry 9:
A relaxed Th6Mg3Te14 crystal. Source: Alexandria, functional PBE.

Output
Size of the total moment, μB per atom: 0.0000
Energy relative to the elements, uncorrected, eV per formula unit: -24.00
Symmetry: P3 (143)
Energy, eV per atom: -5.099

Lattice parameters (Å, degrees): 6.495 11.387 11.387 120.00 90.00 90.00
Atoms (fractional coordinates):
Th 0.238 0.801 0.101
Th 0.238 0.899 0.700
Th 0.238 0.300 0.199
Th 0.738 0.531 0.564
Th 0.738 0.436 0.967
Th 0.738 0.033 0.469
Mg 0.839 0.000 0.000
Mg 0.341 0.333 0.667
Mg 0.483 0.667 0.333
Te 0.000 0.089 0.256
Te 0.000 0.744 0.833
Te 0.000 0.167 0.911
Te 0.502 0.243 0.411
Te 0.502 0.589 0.832
Te 0.502 0.168 0.757
Te 0.424 0.000 0.000
Te 0.927 0.333 0.667
Te 0.727 0.764 0.177
Te 0.727 0.823 0.587
Te 0.727 0.413 0.236
Te 0.239 0.572 0.491
Te 0.239 0.509 0.081
Te 0.239 0.919 0.428



Entry 10:
A relaxed ThMgTe2 crystal. Source: Alexandria, functional PBE.

Output
Size of the total moment, μB per atom: 0.0000
Energy relative to the elements, uncorrected, eV per formula unit: -3.37
Energy relative to the lowest polymorph listed for this composition, meV/atom: 39
Symmetry: R3m (160)
Energy, eV per atom: -4.666

Lattice parameters (Å, degrees): 4.066 4.066 8.568 76.27 76.27 60.00
Atoms (fractional coordinates):
Th 0.666 0.666 0.002
Mg 0.501 0.501 0.498
Te 0.089 0.089 0.732
Te 0.244 0.244 0.267



Entry 11:
A relaxed ThMgTe2 crystal. Source: Alexandria, functional PBE.

Output
Size of the total moment, μB per atom: 0.0000
Energy relative to the elements, uncorrected, eV per formula unit: -3.33
Energy relative to the lowest polymorph listed for this composition, meV/atom: 49
Symmetry: P4/mmm (123)
Energy, eV per atom: -4.656

Lattice parameters (Å, degrees): 3.919 5.251 5.251 90.00 90.00 90.00
Atoms (fractional coordinates):
Mg 0.500 0.500 0.500
Te 0.000 0.000 0.500
Te 0.000 0.500 0.000
Th 0.500 0.000 0.000



Entry 12:
A relaxed ThMgTe crystal. Source: Alexandria, functional PBE.

Output
Size of the total moment, μB per atom: 0.0001
Energy relative to the elements, uncorrected, eV per formula unit: -1.41
Symmetry: R-3m (166)
Energy, eV per atom: -4.521

Lattice parameters (Å, degrees): 5.212 5.212 8.716 72.60 72.60 60.00
Atoms (fractional coordinates):
Th 0.576 0.576 0.271
Th 0.424 0.424 0.729
Te 0.285 0.285 0.144
Te 0.715 0.715 0.856
Mg 0.836 0.836 0.491
Mg 0.164 0.164 0.509



Number 9 is which compound? Th6Mg3Te14



Which formula does entry 11 have? ThMgTe2



The highest energy belongs to which entry? Mg3Te



The highest energy belongs to which entry? Mg3Te